Computed, not measured: an optimized crystal structure of K2In3Hg9 at the PBE-GGA level of DFT.

a = 9.156 Å, b = 9.156 Å, c = 12.269 Å
α = 90.67°, β = 111.09°, γ = 120.15°
Sites, in units of the cell vectors:
Hg: 0.456 0.922 0.743
Hg: 0.783 0.308 0.924
Hg: 0.680 0.714 0.757
Hg: 0.320 0.286 0.243
Hg: 0.867 0.117 0.750
Hg: 0.884 0.859 0.576
Hg: 0.116 0.141 0.424
Hg: 0.225 0.530 0.583
Hg: 0.553 0.357 0.083
Hg: 0.217 0.692 0.076
Hg: 0.870 0.021 0.056
Hg: 0.465 0.813 0.444
Hg: 0.535 0.187 0.556
Hg: 0.130 0.979 0.944
Hg: 0.775 0.470 0.417
Hg: 0.544 0.078 0.257
Hg: 0.447 0.643 0.917
Hg: 0.133 0.883 0.250
K: 0.994 0.581 0.748
K: 0.667 0.754 0.248
K: 0.333 0.246 0.752
K: 0.006 0.419 0.252
In: 0.500 0.000 0.000
In: 0.826 0.653 0.005
In: 0.174 0.347 0.995
In: 0.148 0.821 0.495
In: 0.852 0.179 0.505
In: 0.500 0.500 0.500

Results
symmetry	No. 15
ΔE_f	-126.0	meV/atom